Computed, not measured: a relaxed SrTeSe2 crystal at the PBEsol level of DFT.

```
SrTeSe2
1.0
4.284 0.000 0.000
0.000 4.284 0.000
0.000 0.000 6.153
Sr Se Te
1 2 1
direct
0.000 0.000 0.375 Sr
0.000 0.000 0.875 Se
0.500 0.500 0.375 Se
0.500 0.500 0.875 Te
```

Spin magnetization (μB/cell): 0.00
Density of states at the Fermi level (states/eV/atom): 0.28
VASP energy (eV/atom): -4.25